AlTcNi2 (meta-GGA SCAN, single point on PBEsol structure); E_tot = -19.007 eV per atom; SG = No. 119
1.0
-1.834 1.834 3.594
1.834 -1.834 3.594
1.834 1.834 -3.594
Al Tc Ni
1 1 2
Direct
0.000 0.000 0.000 Al
0.250 0.750 0.500 Tc
0.500 0.500 0.000 Ni
0.750 0.250 0.500 Ni

BeTe2As (meta-GGA SCAN, single point on PBEsol structure); relative energy among the computed polymorphs = 367 meV per atom; uncorrected formation energy = 0.3956 eV per atom; SG = No. 71
1.0
-1.860 3.629 3.734
1.860 -3.629 3.734
1.860 3.629 -3.734
Be Te As
1 2 1
Direct
0.000 0.000 0.000 Be
0.223 0.723 0.500 Te
0.777 0.277 0.500 Te
0.500 0.500 0.000 As

MoPIrO2 (meta-GGA SCAN, single point on PBEsol structure); uncorrected formation energy = -0.4502 eV per atom; SG = No. 123
1.0
3.666 0.000 0.000
0.000 3.666 0.000
0.000 0.000 5.288
Mo P Ir O
1 1 1 2
Direct
0.000 0.000 0.000 Mo
0.000 0.000 0.500 P
0.500 0.500 0.500 Ir
0.000 0.500 0.000 O
0.500 0.000 0.000 O

LiFeF4 (meta-GGA SCAN, single point on PBEsol structure); relative energy among the computed polymorphs = 123 meV per atom; uncorrected formation energy = -2.5539 eV per atom; SG = No. 12
1.0
4.957 -1.432 0.000
4.957 1.432 0.000
-3.713 0.000 4.945
Li Fe F
1 1 4
Direct
0.000 0.000 0.000 Li
0.500 0.500 0.500 Fe
0.152 0.152 0.640 F
0.493 0.493 0.197 F
0.507 0.507 0.803 F
0.848 0.848 0.360 F

Ba2LaNbCu2O8 (meta-GGA SCAN, single point on PBEsol structure); uncorrected formation energy = -2.5564 eV per atom; SG = No. 140
1.0
-2.785 2.785 12.076
2.785 -2.785 12.076
2.785 2.785 -12.076
Ba La Nb Cu O
4 2 2 4 16
Direct
0.098 0.598 0.500 Ba
0.402 0.902 0.500 Ba
0.598 0.098 0.500 Ba
0.902 0.402 0.500 Ba
0.250 0.750 0.500 La
0.750 0.250 0.500 La
0.000 0.000 0.000 Nb
0.500 0.500 0.000 Nb
0.178 0.178 0.000 Cu
0.322 0.322 0.000 Cu
0.678 0.678 0.000 Cu
0.822 0.822 0.000 Cu
0.064 0.065 0.500 O
0.065 0.565 0.002 O
0.082 0.082 0.000 O
0.198 0.698 0.896 O
0.302 0.198 0.500 O
0.418 0.418 0.000 O
0.435 0.436 0.500 O
0.436 0.936 0.002 O
0.564 0.064 0.998 O
0.565 0.564 0.500 O
0.582 0.582 0.000 O
0.698 0.802 0.500 O
0.802 0.302 0.104 O
0.918 0.918 0.000 O
0.935 0.435 0.998 O
0.936 0.935 0.500 O

TcRuRh2 (meta-GGA SCAN, single point on PBEsol structure); relative energy among the computed polymorphs = 13 meV per atom; SG = No. 65
1.0
2.654 -3.822 0.000
2.654 3.822 0.000
0.000 0.000 2.656
Tc Ru Rh
1 1 2
Direct
0.000 0.000 0.000 Tc
0.500 0.500 0.000 Ru
0.000 0.500 0.500 Rh
0.500 0.000 0.500 Rh

CaTa2Co2 (meta-GGA SCAN, single point on PBEsol structure); E_tot = -35.042 eV per atom; SG = No. 139
1.0
-2.204 2.204 4.743
2.204 -2.204 4.743
2.204 2.204 -4.743
Ca Ta Co
1 2 2
Direct
0.000 0.000 0.000 Ca
0.350 0.350 0.000 Ta
0.650 0.650 0.000 Ta
0.250 0.750 0.500 Co
0.750 0.250 0.500 Co

Fe2AgHg (meta-GGA SCAN, single point on PBEsol structure); E_tot = -33.611 eV per atom; SG = No. 47
1.0
2.774 0.000 0.000
0.000 3.876 0.000
0.000 0.000 5.543
Fe Ag Hg
2 1 1
Direct
0.000 0.000 0.233 Fe
0.000 0.000 0.767 Fe
0.500 0.500 0.000 Ag
0.500 0.500 0.500 Hg

MgPtPb2N (meta-GGA SCAN, single point on PBEsol structure); uncorrected formation energy = 0.2123 eV per atom; SG = No. 123
1.0
5.785 0.000 0.000
0.000 5.785 0.000
0.000 0.000 3.609
Mg Pt Pb N
1 1 2 1
Direct
0.000 0.000 0.000 Mg
0.500 0.500 0.500 Pt
0.000 0.500 0.500 Pb
0.500 0.000 0.500 Pb
0.500 0.500 0.000 N

LaMn2Pb (meta-GGA SCAN, single point on PBEsol structure); E_tot = -38.887 eV per atom; SG = No. 119
1.0
-2.204 2.204 4.473
2.204 -2.204 4.473
2.204 2.204 -4.473
La Mn Pb
1 2 1
Direct
0.000 0.000 0.000 La
0.500 0.500 0.000 Mn
0.750 0.250 0.500 Mn
0.250 0.750 0.500 Pb

La2BiRh2 (meta-GGA SCAN, single point on PBEsol structure); relative energy among the computed polymorphs = 0 meV per atom; SG = No. 127
1.0
7.683 0.000 0.000
0.000 7.683 0.000
0.000 0.000 3.893
La Bi Rh
4 2 4
Direct
0.173 0.327 0.000 La
0.327 0.827 0.000 La
0.673 0.173 0.000 La
0.827 0.673 0.000 La
0.000 0.000 0.500 Bi
0.500 0.500 0.500 Bi
0.131 0.631 0.500 Rh
0.369 0.131 0.500 Rh
0.631 0.869 0.500 Rh
0.869 0.369 0.500 Rh

Mg2AsPb (meta-GGA SCAN, single point on PBEsol structure); relative energy among the computed polymorphs = 128 meV per atom; SG = No. 10
1.0
3.632 0.000 0.000
0.000 3.634 0.000
-0.022 0.000 6.668
Mg As Pb
2 1 1
Direct
0.001 0.000 0.287 Mg
0.999 0.000 0.713 Mg
0.500 0.500 0.500 As
0.500 0.500 0.000 Pb